Compound: MgSc2Tl
Source: the Alexandria database
Functional: PBE
Structure: optimized geometry

Results
magnetic moment = 0.160 μB/atom
E_form = -82 meV/atom
relative energy among the computed polymorphs = 133.8 meV/atom

```
data_MgSc2Tl
_chemical_formula_sum 'Mg1 Sc2 Tl1'
_cell_length_a 3.7295
_cell_length_b 3.7295
_cell_length_c 6.7911
_cell_angle_alpha 90.00
_cell_angle_beta 90.00
_cell_angle_gamma 90.00
_space_group_name_H-M_alt 'P 4 m m'
_space_group_IT_number 99
_space_group_name_Hall 'P 4 -2'
loop_
_atom_site_label
_atom_site_fract_x
_atom_site_fract_y
_atom_site_fract_z
_atom_site_occupancy
Mg1 0.0000 0.0000 0.0000 1
Sc1 0.0000 0.0000 0.4991 1
Sc2 0.5000 0.5000 0.2506 1
Tl1 0.5000 0.5000 0.7547 1
```

Compound: MgScTl2
Source: the Alexandria database
Functional: PBE
Structure: optimized geometry

Results
magnetic moment = 0.000 μB/atom
E_form = -109 meV/atom

```
data_MgScTl2
_chemical_formula_sum 'Mg2 Sc2 Tl4'
_cell_length_a 4.3709
_cell_length_b 4.3709
_cell_length_c 10.1020
_cell_angle_alpha 90.00
_cell_angle_beta 90.00
_cell_angle_gamma 90.00
_space_group_name_H-M_alt 'I -4 m 2'
_space_group_IT_number 119
_space_group_name_Hall 'I -4 -2'
loop_
_atom_site_label
_atom_site_fract_x
_atom_site_fract_y
_atom_site_fract_z
_atom_site_occupancy
Mg1 0.0000 0.0000 0.0000 1
Sc1 0.0000 0.5000 0.7500 1
Tl1 0.0000 0.0000 0.5000 1
Tl2 0.0000 0.5000 0.2500 1
```

Compound: MgScTl
Source: the Alexandria database
Functional: PBE
Structure: optimized geometry

Results
magnetic moment = 0.000 μB/atom
E_form = -154 meV/atom

```
data_MgScTl
_chemical_formula_sum 'Mg4 Sc4 Tl4'
_cell_length_a 8.6835
_cell_length_b 4.9909
_cell_length_c 6.3731
_cell_angle_alpha 90.00
_cell_angle_beta 90.26
_cell_angle_gamma 90.00
_space_group_name_H-M_alt 'C 1 m 1'
_space_group_IT_number 8
_space_group_name_Hall 'C -2y'
loop_
_atom_site_label
_atom_site_fract_x
_atom_site_fract_y
_atom_site_fract_z
_atom_site_occupancy
Mg1 0.0000 0.0000 0.0000 1
Mg2 0.1670 0.5000 0.8148 1
Sc1 0.0001 0.0000 0.5025 1
Sc2 0.3332 0.0000 0.1856 1
Tl1 0.1662 0.5000 0.2981 1
Tl2 0.3338 0.0000 0.6977 1
```

Compound: MgSc2Tl3
Source: the Alexandria database
Functional: PBE
Structure: optimized geometry

Results
magnetic moment = 0.116 μB/atom
E_form = -165 meV/atom
relative energy among the computed polymorphs = 11.4 meV/atom

```
data_MgSc2Tl3
_chemical_formula_sum 'Mg1 Sc2 Tl3'
_cell_length_a 3.4887
_cell_length_b 3.4887
_cell_length_c 11.6401
_cell_angle_alpha 90.00
_cell_angle_beta 90.00
_cell_angle_gamma 90.00
_space_group_name_H-M_alt 'P 4/m m m'
_space_group_IT_number 123
_space_group_name_Hall '-P 4 2'
loop_
_atom_site_label
_atom_site_fract_x
_atom_site_fract_y
_atom_site_fract_z
_atom_site_occupancy
Mg1 0.0000 0.0000 0.0000 1
Sc1 0.0000 0.0000 0.3311 1
Tl1 0.5000 0.5000 0.1630 1
Tl2 0.5000 0.5000 0.5000 1
```

Question: magnetic moment of number 4 (MgSc2Tl3)?
Answer: 0.116 μB/atom

Question: Look up the magnetic moment of the third one.
Answer: 0.000 μB/atom

Question: The lowest E_form belongs to which entry?
Answer: MgSc2Tl3